# NaSrCa2Pd

An optimized crystal structure of NaSrCa2Pd (GGA-PBE, Alexandria).

Cell: 5.707 5.707 6.000 Å, 90.00 90.00 90.00°
Sites, in units of the cell vectors:
Na (0.000, 0.000, 0.000)
Sr (0.500, 0.500, 0.000)
Ca (0.000, 0.500, 0.500)
Ca (0.500, 0.000, 0.500)
Pd (0.500, 0.500, 0.500)

The symmetry is P4/mmm. The total magnetic moment comes out at 0.000 μB/f.u. The value obtained for the electronic total energy is -2.73 eV/atom.